Here is SrIn4Re after structural relaxation from the Alexandria database. Energies are from PBE-GGA.

Output
ΔE_f (eV per atom): 0.53
Total moment (μB per formula unit): 0.91
SG: F-43m, No. 216
Fermi-level density of states (states/eV/atom): 0.6187

Geometry as CIF:
```
data_SrIn4Re
_cell_length_a 5.8928
_cell_length_b 5.8928
_cell_length_c 5.8928
_cell_angle_alpha 60.00
_cell_angle_beta 60.00
_cell_angle_gamma 60.00
_symmetry_space_group_name_H-M 'P 1'
_symmetry_Int_Tables_number 1
loop_
_symmetry_equiv_pos_as_xyz
'x,y,z'
loop_
_atom_site_label
_atom_site_type_symbol
_atom_site_fract_x
_atom_site_fract_y
_atom_site_fract_z
_atom_site_occupancy
Sr1 Sr 0.0000 0.0000 0.0000 1
In1 In 0.1275 0.6242 0.6242 1
In2 In 0.6242 0.1275 0.6242 1
In3 In 0.6242 0.6242 0.1275 1
In4 In 0.6242 0.6242 0.6242 1
Re1 Re 0.2500 0.2500 0.2500 1
```